Entry 1:
The following is a DFT calculation (PBE) of an optimized crystal structure of NaYC2.

Output
The calculation puts the calculated formation energy at 1.5458 eV/atom. For the electronic total energy, the calculation gives -5.01 eV per atom.

Lattice parameters (Å, degrees): 4.592 4.592 8.196 73.73 73.73 90.00
Atoms (fractional coordinates):
C  0.047  0.625  0.250
C  0.375  0.297  0.750
C  0.703  0.125  0.250
C  0.875  0.953  0.750
Na  0.250  0.750  0.500
Na  0.500  0.500  0.000
Y  0.000  0.000  0.000
Y  0.750  0.250  0.500

Entry 2:
The following is a DFT calculation (PBE) of an optimized crystal structure of Al2Sb.

Output
For the electronic total energy, the calculation gives -3.75 eV per atom. The calculation puts the formation energy (no corrections) at 0.121 eV per atom.

Lattice parameters (Å, degrees): 5.760 5.760 5.760 120.98 120.98 88.31
Atoms (fractional coordinates):
Al  0.674  0.826  0.500
Al  0.326  0.174  0.500
Al  0.174  0.674  0.847
Al  0.826  0.326  0.153
Sb  0.750  0.750  0.000
Sb  0.250  0.250  0.000

Entry 3:
The following is a DFT calculation (PBE) of an optimized crystal structure of MoP3.

Output
The calculation puts the calculated formation energy at 0.1445 eV/atom. For the electronic total energy, the calculation gives -6.62 eV per atom.

Lattice parameters (Å, degrees): 4.825 4.825 4.825 90.00 90.00 90.00
Atoms (fractional coordinates):
Mo  0.000  0.000  0.000
Mo  0.500  0.500  0.500
P  0.500  0.000  0.750
P  0.750  0.500  0.000
P  0.500  0.000  0.250
P  0.000  0.250  0.500
P  0.000  0.750  0.500
P  0.250  0.500  0.000

Entry 4:
The following is a DFT calculation (PBE) of an optimized crystal structure of MgGaPb.

Output
The calculation puts the calculated formation energy at -0.0098 eV/atom. For the electronic total energy, the calculation gives -2.79 eV per atom.

Lattice parameters (Å, degrees): 3.410 3.410 6.659 104.83 104.83 90.00
Atoms (fractional coordinates):
Pb  0.996  0.996  0.991
Mg  0.683  0.683  0.366
Ga  0.321  0.321  0.643

Entry 5:
The following is a DFT calculation (PBE) of an optimized crystal structure of Nb4TcMo2.

Output
The calculation puts the calculated formation energy at 0.1399 eV/atom. For the electronic total energy, the calculation gives -10.19 eV per atom.

Lattice parameters (Å, degrees): 5.504 5.504 5.504 108.87 109.77 109.77
Atoms (fractional coordinates):
Nb  0.500  0.500  0.500
Nb  0.000  0.500  0.000
Nb  0.500  0.000  0.000
Nb  0.000  0.000  0.500
Mo  0.500  0.500  0.000
Mo  0.500  0.000  0.500
Tc  0.000  0.000  0.000

Entry 6:
The following is a DFT calculation (PBE) of an optimized crystal structure of LaPr4DyHo2.

Output
The calculation puts the calculated formation energy at 0.0178 eV/atom. For the electronic total energy, the calculation gives -4.71 eV per atom.

Lattice parameters (Å, degrees): 3.670 12.044 6.311 79.82 90.00 90.00
Atoms (fractional coordinates):
Ho  0.500  0.000  0.500
Ho  0.000  0.000  0.000
Pr  0.000  0.245  0.252
Pr  0.500  0.752  0.250
Pr  0.000  0.755  0.748
Pr  0.500  0.248  0.750
La  0.500  0.500  0.000
Dy  0.000  0.500  0.500

Entry 7:
The following is a DFT calculation (PBE) of an optimized crystal structure of BaBeAl.

Output
The calculation puts the calculated formation energy at 0.0054 eV/atom. For the electronic total energy, the calculation gives -3.13 eV per atom.

Lattice parameters (Å, degrees): 10.178 4.605 7.935 90.00 94.33 90.00
Atoms (fractional coordinates):
Al  0.428  0.000  0.738
Al  0.572  0.000  0.262
Al  0.572  0.500  0.762
Al  0.428  0.500  0.238
Ba  0.205  0.500  0.848
Ba  0.795  0.000  0.652
Ba  0.205  0.000  0.348
Ba  0.795  0.500  0.152
Be  0.500  0.257  0.500
Be  0.500  0.243  0.000
Be  0.500  0.743  0.500
Be  0.500  0.757  0.000

Entry 8:
The following is a DFT calculation (PBE) of an optimized crystal structure of Ag5As3.

Output
The calculation puts the calculated formation energy at 0.1487 eV/atom. For the electronic total energy, the calculation gives -3.38 eV per atom.

Lattice parameters (Å, degrees): 5.906 5.906 4.254 90.00 90.00 91.89
Atoms (fractional coordinates):
Ag  0.747  0.253  0.500
Ag  0.500  0.000  0.000
Ag  0.000  0.500  0.000
Ag  0.253  0.747  0.500
Ag  0.000  0.000  0.000
As  0.500  0.500  0.000
As  0.240  0.240  0.500
As  0.760  0.760  0.500

Entry 9:
The following is a DFT calculation (PBE) of an optimized crystal structure of Ba3Pr3TmSe8.

Output
For the electronic total energy, the calculation gives -5.43 eV per atom. The calculation puts the formation energy (no corrections) at -1.933 eV per atom.

Lattice parameters (Å, degrees): 8.665 8.664 9.082 118.48 90.00 120.01
Atoms (fractional coordinates):
Se  0.742  0.484  0.726
Se  0.231  0.982  0.713
Se  0.769  0.538  0.287
Se  0.751  0.982  0.713
Se  0.258  0.516  0.274
Se  0.231  0.462  0.713
Se  0.249  0.018  0.287
Se  0.769  0.018  0.287
Tm  0.000  0.000  0.500
Pr  0.000  0.500  0.500
Pr  0.500  0.000  0.500
Pr  0.500  0.500  0.500
Ba  0.000  0.500  0.000
Ba  0.500  0.500  0.000
Ba  0.000  0.000  0.000

Entry 10:
The following is a DFT calculation (PBE) of an optimized crystal structure of Pr2GeSb3Pd4.

Output
For the electronic total energy, the calculation gives -5.56 eV per atom. The calculation puts the formation energy (no corrections) at -0.832 eV per atom.

Lattice parameters (Å, degrees): 4.553 4.553 10.662 90.00 90.00 90.00
Atoms (fractional coordinates):
Pd  0.500  0.000  0.622
Pd  0.000  0.000  0.000
Pd  0.000  0.500  0.378
Pd  0.500  0.500  0.000
Ge  0.500  0.500  0.500
Sb  0.000  0.500  0.134
Sb  0.000  0.000  0.500
Sb  0.500  0.000  0.866
Pr  0.000  0.500  0.750
Pr  0.500  0.000  0.250

Entry 11:
The following is a DFT calculation (PBE) of an optimized crystal structure of CdCo2Br.

Output
For the electronic total energy, the calculation gives -3.85 eV per atom. The calculation puts the formation energy (no corrections) at 0.345 eV per atom.

Lattice parameters (Å, degrees): 3.140 3.140 7.379 90.00 90.00 90.00
Each line ends with the local moment (μB).
Atoms (fractional coordinates):
Co  0.500  0.500  0.208  1.84
Co  0.000  0.000  0.051  1.64
Cd  0.500  0.500  0.826  -0.03
Br  0.000  0.000  0.414  0.11

Entry 12:
The following is a DFT calculation (PBE) of an optimized crystal structure of Cu3SnRh.

Output
The calculation puts the calculated formation energy at 0.7883 eV/atom. For the electronic total energy, the calculation gives -3.94 eV per atom.

Lattice parameters (Å, degrees): 4.651 4.651 4.651 90.00 90.00 90.00
Atoms (fractional coordinates):
Rh  0.000  0.000  0.000
Cu  0.500  0.000  0.000
Cu  0.000  0.500  0.000
Cu  0.000  0.000  0.500
Sn  0.500  0.500  0.500

> What is the electronic total energy in the second record?

-3.75 eV per atom

> Which of these has the lowest electronic total energy?

Nb4TcMo2

> Among the records above, which one has the lowest electronic total energy?

Nb4TcMo2

> Among the records above, which one has the lowest electronic total energy?

Nb4TcMo2